VASP calculation (GGA-PBE) on crystalline TbPuRu at its relaxed geometry.

```
data_TbPuRu
_chemical_formula_sum 'Tb4 Pu4 Ru4'
_cell_length_a 6.728
_cell_length_b 6.728
_cell_length_c 6.728
_cell_angle_alpha 90.00
_cell_angle_beta 90.00
_cell_angle_gamma 90.00
_symmetry_space_group_name_H-M 'F -4 3 m'
_symmetry_Int_Tables_number 216
_symmetry_space_group_name_Hall 'F -4 2 3'
loop_
_atom_site_label
_atom_site_fract_x
_atom_site_fract_y
_atom_site_fract_z
Tb1 0.000 0.000 0.000
Pu1 0.000 0.000 0.500
Ru1 0.250 0.250 0.250
```

ΔE to the lowest computed polymorph ... 162.1 meV per atom
Formation energy ... -26 meV/atom
Calculated volume ... 25.38 Å³/atom

VASP calculation (GGA-PBE) on crystalline Rb9IO3 at its relaxed geometry.

```
data_Rb9IO3
_chemical_formula_sum 'Rb9 I1 O3'
_cell_length_a 10.6626
_cell_length_b 10.6626
_cell_length_c 5.7648
_cell_angle_alpha 90.00
_cell_angle_beta 90.00
_cell_angle_gamma 120.00
_symmetry_space_group_name_H-M 'P 6/m m m'
_symmetry_Int_Tables_number 191
_symmetry_space_group_name_Hall '-P 6 2'
loop_
_atom_site_label
_atom_site_fract_x
_atom_site_fract_y
_atom_site_fract_z
Rb1 0.0000 0.5000 0.0000
Rb2 0.2033 0.4066 0.5000
I1 0.0000 0.0000 0.0000
O1 0.0000 0.5000 0.5000
```

Formation energy without anion corrections ... -0.807 eV per atom
Calculated volume ... 43.66 Å³/atom

VASP calculation (GGA-PBE) on crystalline TbTh4Pt5 at its relaxed geometry.

```
data_TbTh4Pt5
_chemical_formula_sum 'Tb2 Th8 Pt10'
_cell_length_a 9.342
_cell_length_b 9.342
_cell_length_c 5.910
_cell_angle_alpha 90.00
_cell_angle_beta 90.00
_cell_angle_gamma 90.00
_symmetry_space_group_name_H-M 'I 4'
_symmetry_Int_Tables_number 79
loop_
_symmetry_equiv_pos_as_xyz
'x,y,z'
'-y,x,z'
'-x,-y,z'
'y,-x,z'
'x+1/2,y+1/2,z+1/2'
'-y+1/2,x+1/2,z+1/2'
'-x+1/2,-y+1/2,z+1/2'
'y+1/2,-x+1/2,z+1/2'
loop_
_atom_site_label
_atom_site_fract_x
_atom_site_fract_y
_atom_site_fract_z
Tb1 0.000 0.000 0.000
Th1 0.098 0.300 0.499
Pt1 0.000 0.000 0.500
Pt2 0.100 0.300 0.999
```

Formation energy ... -1199 meV/atom
Calculated volume ... 25.79 Å³/atom